Material: DyAgAu
Method: DFT, PBE
State: relaxed

abc: 3.742 3.742 9.150
angles: 90.00 90.00 90.00
Space group P4/nmm (No. 129, origin choice 2)
Inequivalent atoms, fractional coordinates:
Dy1 0.250 0.250 0.241 x2
Ag1 0.250 0.250 0.575 x2
Au1 0.250 0.250 0.908 x2

Computed properties:
ρ ... 12.11 Mg/m³
E above lowest polymorph ... 0.001 eV/atom
M_tot ... 0.00 Bohr magnetons per cell
Energy relative to the elements ... -0.626 eV/atom